No. 1
Entry from Alexandria via LeMat-Bulk: a relaxed MoRhSe2 crystal (GGA-PBE).

It has space group F-43m (No. 216), with a = 6.4364 Å, b = 6.4364 Å, c = 6.4364 Å, α = 90.00°, β = 90.00° and γ = 90.00°. The inequivalent atoms are Mo at (0.0000, 0.0000, 0.0000), Rh at (0.2500, 0.2500, 0.7500), Se at (0.0000, 0.0000, 0.5000) and Se at (0.2500, 0.2500, 0.2500).

The density of states at the Fermi level is 9.7 states/eV per cell. Its volume is 267 Å³ per cell. The relative energy among the computed polymorphs comes out at 0.661 eV per atom. The value obtained for the uncorrected formation energy is 0.49 eV/atom.

***

No. 2
Entry from Alexandria via LeMat-Bulk: a relaxed Ba2LiGaSi2 crystal (GGA-PBE).

It has space group Ibam (No. 72), with a = 6.5257 Å, b = 15.1204 Å, c = 6.5160 Å, α = 90.00°, β = 90.00° and γ = 90.00°. The inequivalent atoms are Ba at (0.2439, 0.1593, 0.0000), Li at (0.0000, 0.0000, 0.2500), Ga at (0.0000, 0.5000, 0.2500) and Si at (0.2331, 0.4057, 0.0000).

The density of states at the Fermi level is 2.6 states/eV per cell. Its volume is 643 Å³ per cell. The value obtained for the uncorrected formation energy is -0.38 eV/atom.

***

No. 3
Entry from Alexandria via LeMat-Bulk: a relaxed LiCdSb2 crystal (GGA-PBE).

It has space group R3m (No. 160, hexagonal axes), with a = 3.3087 Å, b = 3.3087 Å, c = 30.6930 Å, α = 90.00°, β = 90.00° and γ = 120.00°. The inequivalent atoms are Li at (0.0000, 0.0000, 0.0000), Cd at (0.0000, 0.0000, 0.2581), Sb at (0.0000, 0.0000, 0.4993) and Sb at (0.0000, 0.0000, 0.7411).

The density of states at the Fermi level is 3.7 states/eV per cell. Its volume is 291 Å³ per cell. The value obtained for the uncorrected formation energy is 0.02 eV/atom.

***

No. 4
Entry from Alexandria via LeMat-Bulk: a relaxed NaCdIrCl2 crystal (GGA-PBE).

It has space group P4/mmm (No. 123), with a = 4.7538 Å, b = 4.7538 Å, c = 5.8467 Å, α = 90.00°, β = 90.00° and γ = 90.00°. The inequivalent atoms are Na at (0.0000, 0.0000, 0.0000), Cd at (0.5000, 0.5000, 0.0000), Ir at (0.0000, 0.0000, 0.5000) and Cl at (0.0000, 0.5000, 0.5000).

The density of states at the Fermi level is 4.6 states/eV per cell. Its volume is 132 Å³ per cell. The value obtained for the uncorrected formation energy is 0.02 eV/atom.

***

No. 5
Entry from Alexandria via LeMat-Bulk: a relaxed LaCrAu2 crystal (GGA-PBE).

It has space group P4/mmm (No. 123), with a = 3.5673 Å, b = 3.5673 Å, c = 6.9119 Å, α = 90.00°, β = 90.00° and γ = 90.00°. The inequivalent atoms are La at (0.0000, 0.0000, 0.0000), Cr at (0.0000, 0.0000, 0.5000) and Au at (0.5000, 0.5000, 0.2893).

The density of states at the Fermi level is 3.6 states/eV per cell. Its volume is 88 Å³ per cell. The relative energy among the computed polymorphs comes out at 0.106 eV per atom.

***

No. 6
Entry from Alexandria via LeMat-Bulk: a relaxed NdHoPSe crystal (GGA-PBE).

It has space group R3m (No. 160, hexagonal axes), with a = 4.0300 Å, b = 4.0300 Å, c = 21.2566 Å, α = 90.00°, β = 90.00° and γ = 120.00°. The inequivalent atoms are Nd at (0.0000, 0.0000, 0.0000), Ho at (0.0000, 0.0000, 0.8160), P at (0.0000, 0.0000, 0.4133) and Se at (0.0000, 0.0000, 0.2365).

The density of states at the Fermi level is 7.9 states/eV per cell. Its volume is 299 Å³ per cell. The value obtained for the uncorrected formation energy is -1.72 eV/atom.

***

No. 7
Entry from Alexandria via LeMat-Bulk: a relaxed TbTcO6 crystal (GGA-PBE).

It has space group C2/m (No. 12), with a = 6.5859 Å, b = 7.7011 Å, c = 3.8474 Å, α = 90.00°, β = 94.82° and γ = 90.00°. The inequivalent atoms are Tb at (0.0000, 0.0000, 0.0000), Tc at (0.0000, 0.5000, 0.5000), O at (0.0283, 0.2962, 0.8202) and O at (0.2171, 0.0000, 0.5236).

The density of states at the Fermi level is 1.6 states/eV per cell. Its volume is 194 Å³ per cell. The value obtained for the uncorrected formation energy is -1.53 eV/atom.

***

No. 8
Entry from Alexandria via LeMat-Bulk: a relaxed LiNd8Hg2 crystal (GGA-PBE).

It has space group C2/m (No. 12), with a = 18.5964 Å, b = 5.3589 Å, c = 7.2080 Å, α = 90.00°, β = 105.12° and γ = 90.00°. The inequivalent atoms are Li at (0.0000, 0.0000, 0.0000), Nd at (0.0234, 0.5000, 0.7641), Nd at (0.0908, 0.0000, 0.4642), Nd at (0.1631, 0.0000, 0.9687), Nd at (0.1943, 0.5000, 0.3026) and Hg at (0.1869, 0.5000, 0.7245).

The density of states at the Fermi level is 22.1 states/eV per cell. Its volume is 693 Å³ per cell. The value obtained for the total DFT energy (no corrections) is -42.0 eV per formula unit.

***

No. 9
Entry from Alexandria via LeMat-Bulk: a relaxed Nd2Dy3Hg4 crystal (GGA-PBE).

It has space group Cmce (No. 64), with a = 7.0170 Å, b = 17.8930 Å, c = 8.2127 Å, α = 90.00°, β = 90.00° and γ = 90.00°. The inequivalent atoms are Nd at (0.0000, 0.0953, 0.0896), Dy at (0.0000, 0.0000, 0.5000), Dy at (0.2500, 0.2389, 0.7500), Hg at (0.0000, 0.1684, 0.4719) and Hg at (0.2500, 0.0656, 0.7500).

The density of states at the Fermi level is 34.0 states/eV per cell. Its volume is 1031 Å³ per cell. The value obtained for the total DFT energy (no corrections) is -27.7 eV per formula unit.

***

No. 10
Entry from Alexandria via LeMat-Bulk: a relaxed Ca2PmPO8 crystal (GGA-PBE).

It has space group P-3m1 (No. 164), with a = 5.1852 Å, b = 5.1852 Å, c = 6.3174 Å, α = 90.00°, β = 90.00° and γ = 120.00°. The inequivalent atoms are Ca at (0.3333, 0.6667, 0.3802), Pm at (0.0000, 0.0000, 0.0000), P at (0.0000, 0.0000, 0.5000), O at (0.1517, 0.3034, 0.6594) and O at (0.3333, 0.6667, 0.0264).

The density of states at the Fermi level is 7.4 states/eV per cell. Its volume is 147 Å³ per cell. The value obtained for the uncorrected formation energy is -1.90 eV/atom.

***

No. 11
Entry from Alexandria via LeMat-Bulk: a relaxed YNb2Ga2 crystal (GGA-PBE).

It has space group I4/mmm (No. 139), with a = 4.3716 Å, b = 4.3716 Å, c = 11.1642 Å, α = 90.00°, β = 90.00° and γ = 90.00°. The inequivalent atoms are Y at (0.0000, 0.0000, 0.0000), Nb at (0.0000, 0.0000, 0.3909) and Ga at (0.0000, 0.5000, 0.2500).

The density of states at the Fermi level is 6.0 states/eV per cell. Its volume is 213 Å³ per cell. The relative energy among the computed polymorphs comes out at 0.479 eV per atom.